Material: KAs2Se
Method: DFT, GGA-PBE
State: relaxed

Unit cell a=3.4004 b=3.4004 c=9.0007 alpha=90.00 beta=90.00 gamma=109.49
Sites, in units of the cell vectors:
K 0.0000 0.0000 0.0000
As 0.5000 0.5000 0.2943
As 0.5000 0.5000 0.7057
Se 0.0000 0.0000 0.5000

Properties
symmetry = Cmmm
raw formation energy = 0.27 eV/atom

Material: AcPr2Sm2
Method: DFT, GGA-PBE
State: relaxed

Unit cell a=5.8219 b=5.8219 c=12.9638 alpha=90.00 beta=90.00 gamma=120.00
Sites, in units of the cell vectors:
Ac 0.0000 0.0000 0.2500
Ac 0.0000 0.0000 0.7500
Pr 0.3333 0.6667 0.1059
Pr 0.3333 0.6667 0.3941
Pr 0.6667 0.3333 0.6059
Pr 0.6667 0.3333 0.8941
Sm 0.0000 0.0000 0.0000
Sm 0.0000 0.0000 0.5000
Sm 0.3333 0.6667 0.7500
Sm 0.6667 0.3333 0.2500

Properties
energy above the lowest structure with this stoichiometry = 21.5 kJ/mol of atoms
symmetry = P6_3/mmc
ΔE_f = 0.2720 eV per atom

Material: CeMn3Si2
Method: DFT, GGA-PBE
State: relaxed

Unit cell a=7.4024 b=7.4024 c=7.1213 alpha=115.42 beta=115.42 gamma=30.88
Sites, in units of the cell vectors:
Ce 0.1451 0.1451 0.0600
Ce 0.8549 0.8549 0.9400
Mn 0.0408 0.0408 0.3916
Mn 0.2959 0.2959 0.5178
Mn 0.4148 0.4148 0.3696
Mn 0.5852 0.5852 0.6304
Mn 0.7041 0.7041 0.4822
Mn 0.9592 0.9592 0.6084
Si 0.1917 0.1917 0.7010
Si 0.4744 0.4744 0.7989
Si 0.5256 0.5256 0.2011
Si 0.8083 0.8083 0.2990

Properties
symmetry = C2/m
raw formation energy = -0.44 eV/atom

Material: Pm4Hf
Method: DFT, GGA-PBE
State: relaxed

Unit cell a=5.7229 b=5.7229 c=5.7229 alpha=90.00 beta=90.00 gamma=90.00
Sites, in units of the cell vectors:
Pm 0.0000 0.0000 0.0000
Pm 0.0000 0.5000 0.5000
Pm 0.5000 0.0000 0.5000
Pm 0.5000 0.5000 0.0000
Hf 0.5000 0.5000 0.5000

Properties
symmetry = Pm-3m
ΔE_f = 0.5842 eV per atom

Material: Mn3V2
Method: DFT, GGA-PBE
State: relaxed

Unit cell a=7.4223 b=7.4223 c=7.4223 alpha=157.73 beta=157.73 gamma=31.69
Sites, in units of the cell vectors:
Mn 0.0000 0.0000 0.0000
Mn 0.1987 0.1987 0.0000
Mn 0.8013 0.8013 0.0000
V 0.3991 0.3991 0.0000
V 0.6009 0.6009 0.0000

Properties
symmetry = I4/mmm
ΔE_f = -0.1484 eV per atom

Material: K2PaOsO6
Method: DFT, GGA-PBE
State: relaxed

Unit cell a=5.8950 b=5.8950 c=5.8950 alpha=60.00 beta=60.00 gamma=60.00
Sites, in units of the cell vectors:
K 0.2500 0.2500 0.2500
K 0.7500 0.7500 0.7500
Pa 0.0000 0.0000 0.0000
Os 0.5000 0.5000 0.5000
O 0.2621 0.2621 0.7379
O 0.2621 0.7379 0.2621
O 0.2621 0.7379 0.7379
O 0.7379 0.2621 0.2621
O 0.7379 0.2621 0.7379
O 0.7379 0.7379 0.2621

Properties
symmetry = Fm-3m
raw formation energy = -2.19 eV/atom

Material: TbZnGaCu
Method: DFT, GGA-PBE
State: relaxed

Unit cell a=4.6359 b=4.6359 c=4.6359 alpha=60.00 beta=60.00 gamma=60.00
Sites, in units of the cell vectors:
Tb 0.0000 0.0000 0.0000
Zn 0.7500 0.7500 0.7500
Ga 0.5000 0.5000 0.5000
Cu 0.2500 0.2500 0.2500

Properties
symmetry = F-43m
ΔE_f = -0.3221 eV per atom

Material: Ni2Te2Pd
Method: DFT, GGA-PBE
State: relaxed

Unit cell a=5.6152 b=6.2841 c=6.5397 alpha=116.09 beta=112.63 gamma=95.28
Sites, in units of the cell vectors:
Ni 0.0545 0.2613 0.2097
Ni 0.3436 0.0517 0.7907
Ni 0.6564 0.9483 0.2093
Ni 0.9455 0.7387 0.7903
Te 0.1518 0.9242 0.3006
Te 0.3504 0.6240 0.6990
Te 0.6496 0.3760 0.3010
Te 0.8482 0.0758 0.6994
Pd 0.2601 0.5099 0.0200
Pd 0.7399 0.4901 0.9800

Properties
energy above the lowest structure with this stoichiometry = 0.0 kJ/mol of atoms
symmetry = P-1
raw formation energy = -0.15 eV/atom

Number 1: calculated density 4.53 g/cm3. Number 2: calculated density 7.07 g/cm3. Number 3: calculated density 6.69 g/cm3. Number 4: calculated density 6.72 g/cm3. Number 5: calculated density 7.55 g/cm3. Number 6: calculated density 6.83 g/cm3. Number 7: calculated density 8.43 g/cm3. Number 8: calculated density 8.76 g/cm3.